A plane-wave DFT calculation with PBE was carried out for an optimized crystal structure of Rb3Ce3HoS8.

Summary:
* formation energy without anion corrections: -1825 meV/atom
* DOS(E_F): 0.87 states/eV per atom
* energy: -85.7 eV for the cell shown

a = 8.300 Å, b = 8.300 Å, c = 9.131 Å
α = 117.02°, β = 90.00°, γ = 120.00°
Element x y z (fractional)
Ce: 0.500 0.000 0.500
S: 0.774 0.040 0.314
Ce: 0.500 0.500 0.500
S: 0.226 0.451 0.686
Rb: 0.000 0.500 0.000
Rb: 0.000 0.000 0.000
Ce: 0.000 0.500 0.500
S: 0.269 0.537 0.306
S: 0.265 0.040 0.314
S: 0.731 0.463 0.694
Ho: 0.000 0.000 0.500
S: 0.226 0.960 0.686
S: 0.735 0.960 0.686
Rb: 0.500 0.500 0.000
S: 0.774 0.549 0.314

=====

A plane-wave DFT calculation with PBE was carried out for an optimized crystal structure of Rb2Ce2HoS6.

Summary:
* formation energy without anion corrections: -1840 meV/atom
* DOS(E_F): 0.56 states/eV per atom
* energy: -63.4 eV for the cell shown

a = 7.117 Å, b = 7.117 Å, c = 8.161 Å
α = 98.31°, β = 98.31°, γ = 119.85°
Element x y z (fractional)
S: 0.941 0.609 0.314
S: 0.059 0.391 0.686
Rb: 0.833 0.167 0.000
Rb: 0.167 0.833 0.000
S: 0.391 0.059 0.686
S: 0.736 0.736 0.686
Ce: 0.666 0.334 0.500
Ce: 0.334 0.666 0.500
Ho: 0.000 0.000 0.500
S: 0.264 0.264 0.314
S: 0.609 0.941 0.314

=====

A plane-wave DFT calculation with PBE was carried out for an optimized crystal structure of Rb4CeHo3S8.

Summary:
* formation energy without anion corrections: -1826 meV/atom
* DOS(E_F): 0.29 states/eV per atom
* energy: -85.8 eV for the cell shown

a = 8.223 Å, b = 9.028 Å, c = 8.223 Å
α = 117.10°, β = 120.00°, γ = 90.00°
Element x y z (fractional)
Rb: 0.500 0.000 0.000
Rb: 0.000 0.000 0.500
S: 0.278 0.307 0.042
Ho: 0.500 0.500 0.500
S: 0.765 0.307 0.042
S: 0.765 0.307 0.530
S: 0.235 0.693 0.470
S: 0.270 0.310 0.540
Ho: 0.500 0.500 0.000
S: 0.722 0.693 0.958
Ce: 0.000 0.500 0.000
S: 0.730 0.690 0.460
Ho: 0.000 0.500 0.500
Rb: 0.000 0.000 0.000
S: 0.235 0.693 0.958
Rb: 0.500 0.000 0.500

=====

A plane-wave DFT calculation with PBE was carried out for an optimized crystal structure of Rb4Ce3HoSe8.

Summary:
* formation energy without anion corrections: -1683 meV/atom
* DOS(E_F): 1.16 states/eV per atom
* energy: -81.0 eV for the cell shown

a = 8.735 Å, b = 9.442 Å, c = 8.735 Å
α = 117.53°, β = 120.00°, γ = 90.00°
Element x y z (fractional)
Se: 0.259 0.303 0.031
Rb: 0.500 0.000 0.500
Rb: 0.000 0.000 0.000
Rb: 0.000 0.000 0.500
Se: 0.228 0.697 0.456
Ce: 0.500 0.500 0.500
Ce: 0.000 0.500 0.500
Se: 0.733 0.701 0.467
Se: 0.772 0.303 0.031
Se: 0.267 0.299 0.533
Se: 0.772 0.303 0.544
Ce: 0.500 0.500 0.000
Se: 0.228 0.697 0.969
Ho: 0.000 0.500 0.000
Se: 0.741 0.697 0.969
Rb: 0.500 0.000 0.000

=====

A plane-wave DFT calculation with PBE was carried out for an optimized crystal structure of Rb2CeHoSe4.

Summary:
* formation energy without anion corrections: -1697 meV/atom
* DOS(E_F): 0.69 states/eV per atom
* energy: -40.0 eV for the cell shown

a = 4.323 Å, b = 7.488 Å, c = 8.367 Å
α = 107.32°, β = 90.00°, γ = 90.00°
Element x y z (fractional)
Se: 0.500 0.776 0.804
Se: 0.000 0.258 0.802
Ho: 0.000 0.000 0.000
Rb: 0.000 0.500 0.500
Se: 0.000 0.742 0.198
Rb: 0.500 0.000 0.500
Ce: 0.500 0.500 0.000
Se: 0.500 0.224 0.196

=====

A plane-wave DFT calculation with PBE was carried out for an optimized crystal structure of RbCeHo4Se8.

Summary:
* formation energy without anion corrections: -1693 meV/atom
* DOS(E_F): 0.59 states/eV per atom
* energy: -76.8 eV for the cell shown

a = 8.578 Å, b = 8.578 Å, c = 8.761 Å
α = 60.69°, β = 60.69°, γ = 60.00°
Element x y z (fractional)
Ce: 0.005 0.005 0.986
Se: 0.239 0.239 0.721
Se: 0.231 0.231 0.308
Se: 0.752 0.752 0.264
Ho: 0.487 0.004 0.504
Se: 0.239 0.802 0.721
Se: 0.802 0.239 0.721
Se: 0.752 0.232 0.264
Se: 0.232 0.752 0.264
Ho: 0.626 0.626 0.122
Ho: 0.004 0.487 0.504
Se: 0.757 0.757 0.729
Ho: 0.004 0.004 0.504
Rb: 0.370 0.370 0.889

=====

A plane-wave DFT calculation with PBE was carried out for an optimized crystal structure of Rb4CeHo3Se8.

Summary:
* formation energy without anion corrections: -1714 meV/atom
* DOS(E_F): 0.31 states/eV per atom
* energy: -78.8 eV for the cell shown

a = 8.551 Å, b = 9.394 Å, c = 8.551 Å
α = 117.09°, β = 120.00°, γ = 90.00°
Element x y z (fractional)
Ho: 0.000 0.500 0.500
Se: 0.237 0.696 0.473
Se: 0.763 0.304 0.527
Se: 0.731 0.694 0.463
Ho: 0.500 0.500 0.500
Ce: 0.000 0.500 0.000
Rb: 0.000 0.000 0.500
Rb: 0.500 0.000 0.500
Ho: 0.500 0.500 0.000
Rb: 0.000 0.000 0.000
Rb: 0.500 0.000 0.000
Se: 0.276 0.304 0.040
Se: 0.237 0.696 0.960
Se: 0.724 0.696 0.960
Se: 0.269 0.306 0.537
Se: 0.763 0.304 0.040

=====

A plane-wave DFT calculation with PBE was carried out for an optimized crystal structure of Rb2CeHo2Se6.

Summary:
* formation energy without anion corrections: -1720 meV/atom
* energy: -56.9 eV for the cell shown

a = 7.247 Å, b = 7.247 Å, c = 8.544 Å
α = 98.16°, β = 98.16°, γ = 120.05°
Element x y z (fractional)
Se: 0.936 0.603 0.309
Se: 0.731 0.731 0.691
Se: 0.269 0.269 0.309
Rb: 0.167 0.833 0.000
Ho: 0.667 0.333 0.500
Rb: 0.833 0.167 0.000
Se: 0.064 0.397 0.691
Ce: 0.000 0.000 0.500
Ho: 0.333 0.667 0.500
Se: 0.397 0.064 0.691
Se: 0.603 0.936 0.309

=====

A plane-wave DFT calculation with PBE was carried out for an optimized crystal structure of Rb3CeHo2Se6.

Summary:
* formation energy without anion corrections: -1709 meV/atom
* DOS(E_F): 0.41 states/eV per atom
* energy: -59.4 eV for the cell shown

a = 7.434 Å, b = 7.434 Å, c = 8.369 Å
α = 98.52°, β = 98.52°, γ = 120.00°
Element x y z (fractional)
Se: 0.935 0.592 0.804
Se: 0.408 0.065 0.196
Se: 0.592 0.935 0.804
Ce: 0.000 0.000 0.000
Ho: 0.333 0.667 0.000
Se: 0.065 0.408 0.196
Rb: 0.835 0.165 0.500
Rb: 0.500 0.500 0.500
Rb: 0.165 0.835 0.500
Se: 0.278 0.278 0.804
Se: 0.722 0.722 0.196
Ho: 0.667 0.333 0.000

=====

A plane-wave DFT calculation with PBE was carried out for an optimized crystal structure of Rb3CeHo3Se8.

Summary:
* formation energy without anion corrections: -1723 meV/atom
* energy: -76.3 eV for the cell shown

a = 8.389 Å, b = 8.391 Å, c = 9.466 Å
α = 116.35°, β = 90.00°, γ = 119.99°
Element x y z (fractional)
Se: 0.269 0.538 0.307
Se: 0.730 0.961 0.692
Ho: 0.500 0.500 0.500
Ho: 0.000 0.500 0.500
Se: 0.231 0.462 0.692
Rb: 0.000 0.000 0.000
Ho: 0.500 0.000 0.500
Se: 0.270 0.039 0.308
Ce: 0.000 0.000 0.500
Rb: 0.000 0.500 0.000
Se: 0.231 0.961 0.692
Se: 0.769 0.039 0.308
Rb: 0.500 0.500 0.000
Se: 0.769 0.538 0.308
Se: 0.731 0.462 0.693

=====

A plane-wave DFT calculation with PBE was carried out for an optimized crystal structure of Rb3Ce2HoSe6.

Summary:
* formation energy without anion corrections: -1688 meV/atom
* DOS(E_F): 0.96 states/eV per atom
* energy: -60.5 eV for the cell shown

a = 7.541 Å, b = 7.541 Å, c = 8.372 Å
α = 98.64°, β = 98.64°, γ = 120.00°
Element x y z (fractional)
Se: 0.610 0.934 0.802
Se: 0.258 0.258 0.802
Se: 0.390 0.066 0.198
Se: 0.934 0.610 0.802
Se: 0.066 0.390 0.198
Se: 0.742 0.742 0.198
Ho: 0.000 0.000 0.000
Rb: 0.168 0.832 0.500
Rb: 0.832 0.168 0.500
Rb: 0.500 0.500 0.500
Ce: 0.333 0.667 0.000
Ce: 0.667 0.333 0.000

=====

A plane-wave DFT calculation with PBE was carried out for an optimized crystal structure of Rb3Ce3HoSe8.

Summary:
* formation energy without anion corrections: -1708 meV/atom
* DOS(E_F): 0.86 states/eV per atom
* energy: -78.8 eV for the cell shown

a = 8.607 Å, b = 8.609 Å, c = 9.508 Å
α = 116.96°, β = 89.98°, γ = 120.02°
Element x y z (fractional)
Rb: 0.500 0.500 0.000
Se: 0.736 0.964 0.691
Ce: 0.500 0.000 0.500
Se: 0.733 0.466 0.698
Se: 0.228 0.964 0.691
Se: 0.772 0.036 0.309
Ho: 0.000 0.000 0.500
Rb: 0.000 0.000 0.000
Se: 0.772 0.544 0.309
Rb: 0.000 0.500 0.000
Ce: 0.000 0.500 0.500
Se: 0.267 0.534 0.302
Se: 0.228 0.456 0.691
Se: 0.264 0.036 0.309
Ce: 0.500 0.500 0.500